Computed, not measured: LiErSc4S8 after structural relaxation at the PBE level of DFT.

abc: 7.5943 7.5943 7.6952
angles: 60.43 60.43 60.00
Closest atoms and distances in Å follow each position.
Atoms (fractional coordinates):
S 0.2493 0.7700 0.7314  1 Li 2.46, 2 Sc 2.54, 1 Er 2.66
S 0.2309 0.7512 0.2666  3 Sc 2.46-2.67, 1 Er 2.74
S 0.2415 0.2415 0.2754  1 Li 2.51, 3 Sc 2.55
S 0.7512 0.2309 0.2666  3 Sc 2.46-2.67, 1 Er 2.74
S 0.7512 0.7512 0.2666  3 Sc 2.46-2.67, 1 Er 2.74
S 0.7584 0.7584 0.7247  4 Sc 2.50-2.68
S 0.2493 0.2493 0.7314  1 Li 2.46, 2 Sc 2.54, 1 Er 2.66
S 0.7700 0.2493 0.7314  1 Li 2.46, 2 Sc 2.54, 1 Er 2.66
Li 0.3740 0.3740 0.8780  4 S 2.46-2.51
Sc 0.6268 0.6268 0.1195  4 S 2.46-2.50
Sc 0.0055 0.4827 0.5062  6 S 2.54-2.68
Sc 0.0055 0.0055 0.5062  6 S 2.54-2.68
Sc 0.4827 0.0055 0.5062  6 S 2.54-2.68
Er 0.0035 0.0035 0.9895  6 S 2.66-2.74

DOS(E_F): 0.0 states/eV per cell
Formation energy from raw total energies: -25.98 eV/f.u.
Crystal system: trigonal